## Er3ZnRu3 (PBE)

Data for a relaxed Er3ZnRu3 crystal.

For the total energy, the calculation gives -6.491 eV per atom. Its formation energy is -0.378 eV/atom.

The space group is Cmcm (No. 63) and the conventional cell measures 4.271, 10.099 and 13.200 Å, with angles of 90.00, 90.00 and 90.00 degrees. The distinct sites, in fractional coordinates, are Er at (0.000, 0.009, 0.250), Er at (0.000, 0.297, 0.105), Zn at (0.000, 0.000, 0.000), Ru at (0.000, 0.282, 0.750) and Ru at (0.000, 0.415, 0.593).

***

## YBe2Ge (PBE)

Data for a relaxed YBe2Ge crystal.

For the total energy, the calculation gives -4.713 eV per atom. Its formation energy is -0.080 eV/atom.

The space group is I4_1/amd (No. 141, origin choice 2) and the conventional cell measures 4.247, 4.247 and 15.639 Å, with angles of 90.00, 90.00 and 90.00 degrees. The distinct sites, in fractional coordinates, are Y at (0.000, 0.250, 0.375), Be at (0.000, 0.000, 0.000) and Ge at (0.000, 0.250, 0.875).

***

## TlCu5O8 (PBE)

Data for a relaxed TlCu5O8 crystal.

For the total energy, the calculation gives -4.913 eV per atom. Its uncorrected formation energy is -0.448 eV per atom.

The space group is F-43m (No. 216) and the conventional cell measures 8.580, 8.580 and 8.580 Å, with angles of 90.00, 90.00 and 90.00 degrees. The distinct sites, in fractional coordinates, are Tl at (0.000, 0.000, 0.000), Cu at (0.123, 0.123, 0.377), Cu at (0.250, 0.250, 0.750), O at (0.115, 0.115, 0.615) and O at (0.144, 0.144, 0.144).